Entry 1:
The following is a DFT calculation (PBE) of a relaxed structure of LaEuN.

Cell lengths 3.2954, 3.2954, 6.9217 Å; angles 103.77, 103.77, 90.00 degrees
Last column: nearest neighbours and their distance in Å.
Element x y z (fractional)
Eu: 0.9526 0.9526 0.9052  1 La 2.90, 4 N 2.92
La: 0.7302 0.7302 0.4604  4 N 2.59, 1 Eu 2.90
N: 0.3172 0.3172 0.6344  4 La 2.59

Summary:
Total DFT energy (no corrections) = -8.272 eV per atom
Uncorrected formation energy = -0.430 eV per atom
Calculated density = 7.15 Mg/m³
Space group = No. 107


Entry 2:
The following is a DFT calculation (PBE) of a relaxed structure of Ba2AcThSb4.

Cell lengths 4.7801, 8.5079, 8.3071 Å; angles 71.11, 90.00, 90.00 degrees
Last column: nearest neighbours and their distance in Å.
Element x y z (fractional)
Ba: 0.0000 0.0000 0.0000  6 Sb 3.61-3.62
Ba: 0.5000 0.0000 0.5000  6 Sb 3.49-3.50
Ac: 0.5000 0.5000 0.0000  6 Sb 3.36-3.37
Th: 0.0000 0.5000 0.5000  6 Sb 3.22-3.24
Sb: 0.0000 0.7260 0.7451  1 Th 3.22, 2 Ac 3.36, 2 Ba 3.50
Sb: 0.0000 0.2740 0.2549  1 Th 3.22, 2 Ac 3.36, 2 Ba 3.50
Sb: 0.5000 0.7198 0.2719  2 Th 3.24, 1 Ac 3.37, 3 Ba 3.49-3.61
Sb: 0.5000 0.2802 0.7281  2 Th 3.24, 1 Ac 3.37, 3 Ba 3.49-3.61

Summary:
Total DFT energy (no corrections) = -4.982 eV per atom
Uncorrected formation energy = -1.000 eV per atom
Calculated density = 6.34 Mg/m³
Space group = No. 10


Entry 3:
The following is a DFT calculation (PBE) of a relaxed structure of YIn2Cu9.

Cell lengths 5.0662, 5.0662, 8.6230 Å; angles 72.92, 72.92, 60.00 degrees
Last column: nearest neighbours and their distance in Å.
Element x y z (fractional)
Y: 0.0000 0.0000 0.0000  18 Cu 2.92-3.25
In: 0.8596 0.8596 0.4211  12 Cu 2.88-3.03, 3 In 3.19
In: 0.1404 0.1404 0.5789  12 Cu 2.88-3.03, 3 In 3.19
Cu: 0.6665 0.6665 0.0005  6 Cu 2.50-2.51
Cu: 0.3335 0.3335 0.9995  6 Cu 2.50-2.51
Cu: 0.5000 0.5000 0.5000  6 Cu 2.50
Cu: 0.4147 0.4147 0.2513  7 Cu 2.50-2.56
Cu: 0.9192 0.4147 0.2513  7 Cu 2.50-2.56
Cu: 0.4147 0.9192 0.2513  7 Cu 2.50-2.56
Cu: 0.5853 0.5853 0.7487  7 Cu 2.50-2.56
Cu: 0.5853 0.0808 0.7487  7 Cu 2.50-2.56
Cu: 0.0808 0.5853 0.7487  7 Cu 2.50-2.56

Summary:
Total DFT energy (no corrections) = -4.201 eV per atom
Calculated density = 8.20 Mg/m³
Space group = No. 166


Entry 4:
The following is a DFT calculation (PBE) of a relaxed structure of ErPt2Pb.

Cell lengths 3.7770, 4.6739, 4.6739 Å; angles 90.00, 90.00, 90.00 degrees
Last column: nearest neighbours and their distance in Å.
Element x y z (fractional)
Pb: 0.5000 0.0000 0.0000  8 Pt 3.00, 4 Er 3.30
Pt: 0.0000 0.0000 0.5000  4 Pb 3.00, 4 Er 3.00, 4 Pt 3.30
Pt: 0.0000 0.5000 0.0000  4 Pb 3.00, 4 Er 3.00, 4 Pt 3.30
Er: 0.5000 0.5000 0.5000  8 Pt 3.00, 4 Pb 3.30

Summary:
Total DFT energy (no corrections) = -5.783 eV per atom
Calculated density = 15.39 Mg/m³
Space group = No. 123